Computed, not measured: crystalline BaSrFe2I8 at its relaxed geometry at the PBE level of DFT.

Cell: 7.4411 7.4411 10.9110 Å, 90.00 90.00 120.00°
Closest atoms and distances in Å follow each position.
Space group P-3 (No. 147)
Symmetry-distinct sites (fractional):
Ba  0.0000  0.0000  0.0000 x1  12 I 3.99-4.30
Sr  0.0000  0.0000  0.5000 x1  6 I 3.29
Fe  0.3333  0.6667  0.7666 x2  4 I 2.58-2.62
I  0.0023  0.6802  0.2931 x6  1 Fe 2.62
I  0.3333  0.6667  0.0033 x2  1 Fe 2.58

Calculated values
Spin magnetization = 8.0 μB per formula unit
E_form (uncorrected) = -0.82 eV/atom
Density of states at the Fermi level = 13.59 states/eV/cell